A relaxed BiTeRuN2 crystal, computed with PBE.

Structure (POSCAR):
```
BiTeRuN2
1.0
4.218 0.000 0.000
0.000 4.218 0.000
0.000 0.000 6.600
Bi Te Ru N
1 1 1 2
Direct
0.000 0.000 0.000
0.000 0.000 0.500
0.500 0.500 0.500
0.000 0.500 0.000
0.500 0.000 0.000
```

Calculated values
- Calculated volume: 117.45 Å³/cell
- Formation energy (no corrections): 10.2 eV/f.u.
- Excess energy over the best structure of this formula in the dataset: 985 meV/atom
- Spin magnetization: 4.6 μB/f.u.
- Space-group type: P4/mmm, No. 123
- DOS at the Fermi energy: 6.7 states/eV/cell